# BaLi2Al2, optimized geometry, DFT GGA-PBE
data_BaLi2Al2
_chemical_formula_sum 'Ba2 Li4 Al4'
_cell_length_a 8.4776
_cell_length_b 8.4776
_cell_length_c 3.1725
_cell_angle_alpha 90.00
_cell_angle_beta 90.00
_cell_angle_gamma 90.00
_space_group_name_H-M_alt 'P 4/m b m'
_space_group_IT_number 127
_space_group_name_Hall '-P 4 2ab'
loop_
_atom_site_label
_atom_site_fract_x
_atom_site_fract_y
_atom_site_fract_z
Ba1 0.0000 0.0000 0.0000
Li1 0.1629 0.3371 0.0000
Al1 0.1173 0.6173 0.5000
# - Offset from the most stable computed form: 0.089 eV per atom
# - Fermi-level density of states: 6.326 states/eV/cell
# - ΔE_f: 0.01 eV/atom
# - Total moment: 0.00 μB/f.u.
# - Uncorrected energy: -2.639 eV per atom
# - Calculated volume: 228.0 Å³ per cell

# Cs3CePb2Se6, optimized geometry, DFT GGA-PBE
data_Cs3CePb2Se6
_chemical_formula_sum 'Cs6 Ce2 Pb4 Se12'
_cell_length_a 7.6893
_cell_length_b 13.3065
_cell_length_c 8.7274
_cell_angle_alpha 90.00
_cell_angle_beta 106.95
_cell_angle_gamma 90.00
_space_group_name_H-M_alt 'C 1 2/m 1'
_space_group_IT_number 12
_space_group_name_Hall '-C 2y'
loop_
_atom_site_label
_atom_site_fract_x
_atom_site_fract_y
_atom_site_fract_z
Cs1 0.0000 0.0000 0.0000
Cs2 0.0000 0.3265 0.0000
Ce1 0.0000 0.5000 0.5000
Pb1 0.0000 0.1658 0.5000
Se1 0.2209 0.3422 0.6901
Se2 0.2496 0.0000 0.6930
# - Fermi-level density of states: 14.731 states/eV/cell
# - Total moment: 0.00 μB/f.u.
# - Uncorrected energy: -4.138 eV per atom
# - Calculated volume: 854.2 Å³ per cell

# Ca2TiZn2Pd5, optimized geometry, DFT GGA-PBE
data_Ca2TiZn2Pd5
_chemical_formula_sum 'Ca4 Ti2 Zn4 Pd10'
_cell_length_a 10.0663
_cell_length_b 10.0663
_cell_length_c 3.5432
_cell_angle_alpha 90.00
_cell_angle_beta 90.00
_cell_angle_gamma 90.00
_space_group_name_H-M_alt 'P 4/m b m'
_space_group_IT_number 127
_space_group_name_Hall '-P 4 2ab'
loop_
_atom_site_label
_atom_site_fract_x
_atom_site_fract_y
_atom_site_fract_z
Ca1 0.1732 0.3268 0.0000
Ti1 0.0000 0.0000 0.0000
Zn1 0.1270 0.6270 0.0000
Pd1 0.0000 0.5000 0.5000
Pd2 0.0614 0.8041 0.5000
# - Fermi-level density of states: 7.190 states/eV/cell
# - ΔE_f: -0.60 eV/atom
# - Total moment: 0.00 μB/f.u.
# - Uncorrected energy: -4.640 eV per atom
# - Calculated volume: 359.0 Å³ per cell

# LaAlFe3, optimized geometry, DFT GGA-PBE
data_LaAlFe3
_chemical_formula_sum 'La1 Al1 Fe3'
_cell_length_a 4.5621
_cell_length_b 4.5621
_cell_length_c 4.5621
_cell_angle_alpha 90.00
_cell_angle_beta 90.00
_cell_angle_gamma 90.00
_space_group_name_H-M_alt 'P m -3 m'
_space_group_IT_number 221
_space_group_name_Hall '-P 4 2 3'
loop_
_atom_site_label
_atom_site_fract_x
_atom_site_fract_y
_atom_site_fract_z
La1 0.0000 0.0000 0.0000
Al1 0.5000 0.5000 0.5000
Fe1 0.0000 0.5000 0.5000
# - Offset from the most stable computed form: 0.000 eV per atom
# - Fermi-level density of states: 9.140 states/eV/cell
# - ΔE_f: 0.56 eV/atom
# - Total moment: 6.20 μB/f.u.
# - Uncorrected energy: -6.253 eV per atom
# - Calculated volume: 94.9 Å³ per cell

# Li5Tl5Cd2, optimized geometry, DFT GGA-PBE
data_Li5Tl5Cd2
_chemical_formula_sum 'Li10 Tl10 Cd4'
_cell_length_a 14.9192
_cell_length_b 4.6744
_cell_length_c 9.2836
_cell_angle_alpha 90.00
_cell_angle_beta 123.20
_cell_angle_gamma 90.00
_space_group_name_H-M_alt 'C 1 2/m 1'
_space_group_IT_number 12
_space_group_name_Hall '-C 2y'
loop_
_atom_site_label
_atom_site_fract_x
_atom_site_fract_y
_atom_site_fract_z
Li1 0.0000 0.0000 0.0000
Li2 0.0811 0.0000 0.7425
Li3 0.2493 0.0000 0.2605
Tl1 0.0000 0.5000 0.5000
Tl2 0.0912 0.5000 0.2416
Tl3 0.1705 0.5000 0.9864
Cd1 0.1570 0.0000 0.5005
# - Fermi-level density of states: 7.946 states/eV/cell
# - ΔE_f: -0.15 eV/atom
# - Total moment: 0.00 μB/f.u.
# - Uncorrected energy: -2.084 eV per atom
# - Calculated volume: 541.8 Å³ per cell

# YOF2, optimized geometry, DFT GGA-PBE
data_YOF2
_chemical_formula_sum 'Y3 O3 F6'
_cell_length_a 4.0423
_cell_length_b 4.0423
_cell_length_c 9.4687
_cell_angle_alpha 90.00
_cell_angle_beta 90.00
_cell_angle_gamma 120.00
_space_group_name_H-M_alt 'R -3 m'
_space_group_IT_number 166
_space_group_name_Hall '-R 3 2"'
loop_
_atom_site_label
_atom_site_fract_x
_atom_site_fract_y
_atom_site_fract_z
Y1 0.0000 0.0000 0.0000
O1 0.0000 0.0000 0.5000
F1 0.0000 0.0000 0.2622
# - Offset from the most stable computed form: 0.004 eV per atom
# - Fermi-level density of states: 0.000 states/eV/cell
# - Total moment: 1.00 μB/f.u.
# - Uncorrected energy: -6.582 eV per atom
# - Calculated volume: 134.0 Å³ per cell

# BeTlAgF6, optimized geometry, DFT GGA-PBE
data_BeTlAgF6
_chemical_formula_sum 'Be1 Tl1 Ag1 F6'
_cell_length_a 5.3630
_cell_length_b 5.3630
_cell_length_c 5.1602
_cell_angle_alpha 90.00
_cell_angle_beta 90.00
_cell_angle_gamma 120.00
_space_group_name_H-M_alt 'P 3 1 2'
_space_group_IT_number 149
_space_group_name_Hall 'P 3 2'
loop_
_atom_site_label
_atom_site_fract_x
_atom_site_fract_y
_atom_site_fract_z
Be1 0.0000 0.0000 0.0000
Tl1 0.6667 0.3333 0.0000
Ag1 0.3333 0.6667 0.5000
F1 0.2769 0.0084 0.2014
# - Total moment: 0.05 μB/f.u.
# - Uncorrected energy: -4.234 eV per atom
# - Calculated volume: 128.5 Å³ per cell

# KLa3As, optimized geometry, DFT GGA-PBE
data_KLa3As
_chemical_formula_sum 'K1 La3 As1'
_cell_length_a 5.9429
_cell_length_b 5.9429
_cell_length_c 5.9429
_cell_angle_alpha 90.00
_cell_angle_beta 90.00
_cell_angle_gamma 90.00
_space_group_name_H-M_alt 'P m -3 m'
_space_group_IT_number 221
_space_group_name_Hall '-P 4 2 3'
loop_
_atom_site_label
_atom_site_fract_x
_atom_site_fract_y
_atom_site_fract_z
K1 0.0000 0.0000 0.0000
La1 0.0000 0.5000 0.5000
As1 0.5000 0.5000 0.5000
# - Offset from the most stable computed form: 0.000 eV per atom
# - Fermi-level density of states: 10.018 states/eV/cell
# - ΔE_f: -0.25 eV/atom
# - Total moment: 1.39 μB/f.u.
# - Uncorrected energy: -4.353 eV per atom
# - Calculated volume: 209.9 Å³ per cell

# Nd2TmTh, optimized geometry, DFT GGA-PBE
data_Nd2TmTh
_chemical_formula_sum 'Nd2 Tm1 Th1'
_cell_length_a 5.0832
_cell_length_b 5.0832
_cell_length_c 5.1171
_cell_angle_alpha 90.00
_cell_angle_beta 90.00
_cell_angle_gamma 90.00
_space_group_name_H-M_alt 'P 4/m m m'
_space_group_IT_number 123
_space_group_name_Hall '-P 4 2'
loop_
_atom_site_label
_atom_site_fract_x
_atom_site_fract_y
_atom_site_fract_z
Nd1 0.0000 0.5000 0.0000
Tm1 0.0000 0.0000 0.5000
Th1 0.5000 0.5000 0.5000
# - Offset from the most stable computed form: 0.017 eV per atom
# - Fermi-level density of states: 4.819 states/eV/cell
# - ΔE_f: 0.05 eV/atom
# - Total moment: 0.00 μB/f.u.
# - Uncorrected energy: -5.307 eV per atom
# - Calculated volume: 132.2 Å³ per cell

The highest uncorrected energy belongs to which entry?
Li5Tl5Cd2

Which of these has the lowest uncorrected energy?
YOF2